VASP calculation (PBE with a Hubbard U) on an optimized crystal structure of Ba2CrRu3O12.

Properties
* total magnetization: 7.021 μB per formula unit
* electronic total energy: -6.880 eV per atom
* mass density: 5.3 g cm⁻³
* crystal system: trigonal
* DOS(E_F): 27.692 states/eV per cell

Lattice parameters (Å, degrees): 7.2422 7.2422 16.9608 90.00 90.00 120.00
With the nearest neighbours (Å) after each atom.
Space group R-3m (No. 166, hexagonal axes)
Inequivalent atoms, fractional coordinates:
Ba 0.0000 0.0000 0.1417 (multiplicity 6)  3 O 2.86
Cr 0.0000 0.0000 0.5000 (multiplicity 3)  6 O 1.95
Ru 0.0000 0.5000 0.0000 (multiplicity 9)  6 O 1.89-1.95
O 0.0641 0.5321 0.1088 (multiplicity 18)  1 Ru 1.89, 1 Cr 1.95
O 0.0707 0.5353 0.3583 (multiplicity 18)  2 Ru 1.95